[1]
Density functional theory data (PBE-GGA) for a relaxed Pm5Pa3S8 crystal.

The structure belongs to space group R-3m (No. 166, hexagonal axes); the cell edges are 7.9283, 7.9283 and 19.6359 Å and the angles 90.00°, 90.00° and 120.00°. The inequivalent atoms are Pm at (0.0000, 0.0000, 0.0000), Pm at (0.0000, 0.0000, 0.5000), Pm at (0.0000, 0.5000, 0.0000), Pa at (0.0000, 0.5000, 0.5000), S at (0.0000, 0.0000, 0.2476) and S at (0.0040, 0.5020, 0.7520).

As for the total energy: -7.170 eV/atom. For the density of states at the Fermi level, the calculation gives 0.955 states/eV/atom.

---

[2]
Density functional theory data (PBE-GGA) for a relaxed PmPa5S6 crystal.

The structure belongs to space group C2/m (No. 12); the cell edges are 6.613, 11.839 and 6.910 Å and the angles 90.00°, 109.91° and 90.00°. The inequivalent atoms are Pm at (0.000, 0.000, 0.000), Pa at (0.000, 0.163, 0.500), Pa at (0.000, 0.332, 0.000), Pa at (0.000, 0.500, 0.500), S at (0.244, 0.500, 0.248) and S at (0.246, 0.332, 0.747).

As for the total energy: -8.074 eV/atom. For the density of states at the Fermi level, the calculation gives 1.506 states/eV/atom.

---

[3]
Density functional theory data (PBE-GGA) for a relaxed Pm3PaS4 crystal.

The structure belongs to space group Cmmm (No. 65); the cell edges are 8.030, 11.289 and 3.976 Å and the angles 90.00°, 90.00° and 90.00°. The inequivalent atoms are Pm at (0.000, 0.000, 0.000), Pm at (0.250, 0.250, 0.500), Pa at (0.000, 0.500, 0.000), S at (0.000, 0.254, 0.000) and S at (0.244, 0.500, 0.500).

As for the total energy: -6.936 eV/atom. For the density of states at the Fermi level, the calculation gives 0.717 states/eV/atom.

---

[4]
Density functional theory data (PBE-GGA) for a relaxed PmPa3S4 crystal.

The structure belongs to space group Cmmm (No. 65); the cell edges are 8.119, 11.112 and 3.786 Å and the angles 90.00°, 90.00° and 90.00°. The inequivalent atoms are Pm at (0.000, 0.000, 0.000), Pa at (0.000, 0.500, 0.000), Pa at (0.250, 0.250, 0.500), S at (0.000, 0.251, 0.000) and S at (0.247, 0.500, 0.500).

As for the total energy: -7.906 eV/atom. For the density of states at the Fermi level, the calculation gives 1.300 states/eV/atom.

---

[5]
Density functional theory data (PBE-GGA) for a relaxed PmPaS6 crystal.

The structure belongs to space group Fm-3m (No. 225); the cell edges are 10.748, 10.748 and 10.748 Å and the angles 90.00°, 90.00° and 90.00°. The inequivalent atoms are Pm at (0.000, 0.000, 0.000), Pa at (0.000, 0.000, 0.500) and S at (0.000, 0.000, 0.259).

As for the total energy: -5.536 eV/atom. For the density of states at the Fermi level, the calculation gives 0.899 states/eV/atom.

---

[6]
Density functional theory data (PBE-GGA) for a relaxed Pm2Pa3S8 crystal.

The structure belongs to space group Cmmm (No. 65); the cell edges are 9.442, 13.454 and 4.770 Å and the angles 90.00°, 90.00° and 90.00°. The inequivalent atoms are Pm at (0.000, 0.231, 0.000), Pa at (0.000, 0.500, 0.000), Pa at (0.234, 0.000, 0.500), S at (0.000, 0.122, 0.500), S at (0.000, 0.387, 0.500) and S at (0.239, 0.381, 0.000).

The energy above the most stable polymorph in this dataset is 0 meV per atom. For the density of states at the Fermi level, the calculation gives 0.878 states/eV/atom.

---

no.,magnetic moment (μB per formula unit)
1,1.9
2,0.0
3,0.0
4,0.0
5,0.0
6,1.8